(1)
VASP calculation (GGA-PBEsol) on a relaxed KRb2GdCl6 crystal.

Geometry as POSCAR:
```
KRb2GdCl6
1.0
7.841 0.000 0.000
3.920 6.790 0.000
3.920 2.263 6.402
K Gd Rb Cl
1 1 2 6
Direct
0.500 0.500 0.500
0.000 0.000 0.000
0.250 0.250 0.250
0.750 0.750 0.750
0.237 0.237 0.763
0.237 0.763 0.237
0.237 0.763 0.763
0.763 0.237 0.763
0.763 0.237 0.237
0.763 0.763 0.237
```

Values from the calculation:
Size of the total moment in μB per atom: 0.70
Crystal system: cubic
E_form (uncorrected) in meV/atom: -2070
Volume in A^3/atom: 34.08
Total energy in eV/atom: -5.038

***

(2)
VASP calculation (GGA-PBEsol) on a relaxed ErZnCuP2 crystal.

Geometry as POSCAR:
```
ErZnCuP2
1.0
3.901 0.000 0.000
-1.950 3.378 0.000
0.000 0.000 6.404
P Zn Cu Er
2 1 1 1
Direct
0.333 0.667 0.748
0.667 0.333 0.254
0.667 0.333 0.626
0.333 0.667 0.358
0.000 0.000 0.015
```

Values from the calculation:
ΔH_f (0 K) in eV per atom: -0.79
Size of the total moment in μB per atom: 0.00
Crystal system: trigonal
Volume in A^3/atom: 16.88
Total energy in eV/atom: -5.275

***

(3)
VASP calculation (GGA-PBEsol) on a relaxed Sr8Fe7CoO24 crystal.

Geometry as POSCAR:
```
Sr8Fe7CoO24
1.0
7.576 0.000 0.000
0.000 7.576 0.000
0.000 0.000 7.576
Sr Fe Co O
8 7 1 24
Direct
0.249 0.751 0.751
0.249 0.751 0.249
0.249 0.249 0.751
0.249 0.249 0.249
0.751 0.751 0.751
0.751 0.751 0.249
0.751 0.249 0.751
0.751 0.249 0.249
0.000 0.500 0.500
0.000 0.500 0.000
0.000 0.000 0.500
0.500 0.500 0.500
0.500 0.500 0.000
0.500 0.000 0.500
0.500 0.000 0.000
0.000 0.000 0.000
0.250 0.500 0.500
0.251 0.500 0.000
0.251 0.000 0.500
0.252 0.000 0.000
0.750 0.500 0.500
0.749 0.500 0.000
0.749 0.000 0.500
0.748 0.000 0.000
0.000 0.749 0.500
0.000 0.748 0.000
0.000 0.251 0.500
0.000 0.252 0.000
0.500 0.750 0.500
0.500 0.749 0.000
0.500 0.250 0.500
0.500 0.251 0.000
0.000 0.500 0.749
0.000 0.500 0.251
0.000 0.000 0.748
0.000 0.000 0.252
0.500 0.500 0.750
0.500 0.500 0.250
0.500 0.000 0.749
0.500 0.000 0.251
```

Values from the calculation:
Size of the total moment in μB per atom: 0.64
Crystal system: cubic
E_form (uncorrected) in meV/atom: -2021
Volume in A^3/atom: 10.87
Total energy in eV/atom: -7.300